The following is a PBE calculation of a relaxed structure of GaBAu2O, from the Alexandria database.

Unit cell a=5.090 b=3.554 c=5.090 alpha=90.00 beta=90.00 gamma=90.00
Positions (direct):
B 0.500 0.500 0.500
Au 0.000 0.000 0.500
Au 0.500 0.000 0.000
O 0.000 0.500 0.000
Ga 0.000 0.000 0.000

Computed properties:
uncorrected formation energy	0.82	eV per atom
VASP energy	-0.2518	Ry/atom
N(E_F)	1.0	states/eV/f.u.
symmetry	No. 123
total magnetic moment	0.00	μB per cell

The following is a PBE calculation of a relaxed structure of GaBTeRhAu, from the Alexandria database.

Unit cell a=2.982 b=3.110 c=19.345 alpha=90.00 beta=90.00 gamma=90.00
Positions (direct):
Rh 0.000 0.000 0.321
Rh 0.000 0.500 0.821
B 0.500 0.000 0.823
B 0.500 0.500 0.323
Te 0.000 0.000 0.169
Te 0.000 0.500 0.669
Au 0.000 0.000 0.020
Au 0.000 0.500 0.520
Ga 0.500 0.000 0.435
Ga 0.500 0.500 0.935

Computed properties:
uncorrected formation energy	0.02	eV per atom
VASP energy	-0.3439	Ry/atom
N(E_F)	2.0	states/eV/f.u.
energy above the lowest structure with this stoichiometry	0.16	eV/f.u.
symmetry	No. 38
total magnetic moment	0.00	μB per cell